1.
# AcYMg17, relaxed, DFT GGA-PBE
data_AcYMg17
_chemical_formula_sum 'Ac3 Y3 Mg51'
_symmetry_space_group_name_H-M 'R 3 m'
_symmetry_Int_Tables_number 160
_symmetry_space_group_name_Hall 'R 3 -2"'
_cell_length_a 10.3392
_cell_length_b 10.3392
_cell_length_c 15.2994
_cell_angle_alpha 90.00
_cell_angle_beta 90.00
_cell_angle_gamma 120.00
loop_
_atom_site_label
_atom_site_fract_x
_atom_site_fract_y
_atom_site_fract_z
Ac1 0.0000 0.0000 0.0000
Y1 0.0000 0.0000 0.6628
Mg1 0.0000 0.0000 0.2383
Mg2 0.0000 0.0000 0.4349
Mg3 0.0031 0.5015 0.1830
Mg4 0.0038 0.3022 0.3337
Mg5 0.0058 0.5029 0.8321
Mg6 0.0171 0.5085 0.4863
# - formation energy (kJ/mol of atoms) = -4.92
# - E (eV/atom) = -2.034


2.
# Ba2PuTaN5, relaxed, DFT GGA-PBE
data_Ba2PuTaN5
_chemical_formula_sum 'Ba8 Pu4 Ta4 N20'
_symmetry_space_group_name_H-M 'C m c 21'
_symmetry_Int_Tables_number 36
_cell_length_a 3.5727
_cell_length_b 13.7725
_cell_length_c 12.8403
_cell_angle_alpha 90.00
_cell_angle_beta 90.00
_cell_angle_gamma 90.00
loop_
_symmetry_equiv_pos_as_xyz
'x,y,z'
'-x,-y,z+1/2'
'-x,y,z'
'x,-y,z+1/2'
'x+1/2,y+1/2,z'
'-x+1/2,-y+1/2,z+1/2'
'-x+1/2,y+1/2,z'
'x+1/2,-y+1/2,z+1/2'
loop_
_atom_site_label
_atom_site_fract_x
_atom_site_fract_y
_atom_site_fract_z
Ba1 0.0000 0.0847 0.0000
Ba2 0.0000 0.1563 0.6230
Pu1 0.0000 0.2148 0.3465
Ta1 0.0000 0.4836 0.7730
N1 0.0000 0.0520 0.3404
N2 0.0000 0.2749 0.9505
N3 0.0000 0.3119 0.7527
N4 0.0000 0.3748 0.3183
N5 0.0000 0.4939 0.1280
# - formation energy from raw total energies (meV per atom) = -895
# - E (eV/atom) = -8.857


3.
# LiLa2ScCo, relaxed, DFT GGA-PBE
data_LiLa2ScCo
_chemical_formula_sum 'Li1 La2 Sc1 Co1'
_symmetry_space_group_name_H-M 'P 4/m m m'
_symmetry_Int_Tables_number 123
_symmetry_space_group_name_Hall '-P 4 2'
_cell_length_a 5.4024
_cell_length_b 5.4024
_cell_length_c 5.0258
_cell_angle_alpha 90.00
_cell_angle_beta 90.00
_cell_angle_gamma 90.00
loop_
_atom_site_label
_atom_site_fract_x
_atom_site_fract_y
_atom_site_fract_z
Li1 0.0000 0.0000 0.0000
La1 0.0000 0.5000 0.5000
Sc1 0.5000 0.5000 0.0000
Co1 0.5000 0.5000 0.5000
# - formation energy (kJ/mol of atoms) = -0.15
# - E (eV/atom) = -5.043


4.
# Tl3Cu2Te3, relaxed, DFT GGA-PBE
data_Tl3Cu2Te3
_chemical_formula_sum 'Tl12 Cu8 Te12'
_symmetry_space_group_name_H-M 'C m c m'
_symmetry_Int_Tables_number 63
_symmetry_space_group_name_Hall '-C 2c 2'
_cell_length_a 4.5352
_cell_length_b 12.9482
_cell_length_c 15.8912
_cell_angle_alpha 90.00
_cell_angle_beta 90.00
_cell_angle_gamma 90.00
loop_
_atom_site_label
_atom_site_fract_x
_atom_site_fract_y
_atom_site_fract_z
Tl1 0.0000 0.0908 0.2500
Tl2 0.0000 0.4013 0.1221
Cu1 0.0000 0.2768 0.5836
Te1 0.0000 0.1334 0.0400
Te2 0.0000 0.2311 0.7500
# - formation energy from raw total energies (meV per atom) = -154
# - E (eV/atom) = -3.244


5.
# Y2HoV, relaxed, DFT GGA-PBE
data_Y2HoV
_chemical_formula_sum 'Y6 Ho3 V3'
_symmetry_space_group_name_H-M 'R -3 m'
_symmetry_Int_Tables_number 166
_symmetry_space_group_name_Hall '-R 3 2"'
_cell_length_a 3.3821
_cell_length_b 3.3821
_cell_length_c 34.3436
_cell_angle_alpha 90.00
_cell_angle_beta 90.00
_cell_angle_gamma 120.00
loop_
_atom_site_label
_atom_site_fract_x
_atom_site_fract_y
_atom_site_fract_z
Y1 0.0000 0.0000 0.0821
Ho1 0.0000 0.0000 0.5000
V1 0.0000 0.0000 0.0000
# - formation energy (kJ/mol of atoms) = 59.54
# - E (eV/atom) = -6.039


| no. | Fermi-level density of states (states/eV/cell) |
| --- | --- |
| 1 | 25.59 |
| 2 | 20.84 |
| 3 | 5.30 |
| 4 | 11.96 |
| 5 | 20.45 |